A relaxed structure of UTi2Cr, computed with GGA-PBE.

Geometry as POSCAR:
```
UTi2Cr
1.0
-2.799 -0.156 0.536
-0.917 -0.654 2.623
-1.319 9.295 3.411
Ti U Cr
2 1 1
Cartesian
-1.301 7.076 2.864
-3.735 1.409 3.706
-2.518 4.242 3.285
0.000 0.000 0.000
```

Calculated values
space-group type	R-3m (166)
DOS(E_F)	7.73	states/eV/f.u.
E	-34.66	eV/f.u.